# 1
LiCrO2 after structural relaxation, computed with GGA-PBEsol.

Output
crystal system: cubic
offset from the most stable computed form: 1 meV per atom
formation energy (no corrections): -2039 meV/atom
symmetry: Fd-3m, No. 227

Cell: 5.811 5.811 5.811 Å, 60.00 60.00 60.00°
Fractional coordinates of all 16 atoms:
Li 0.000 0.000 0.000
Li 0.000 0.000 0.500
Li 0.000 0.500 0.000
Li 0.500 0.000 0.000
Cr 0.000 0.500 0.500
Cr 0.500 0.000 0.500
Cr 0.500 0.500 0.000
Cr 0.500 0.500 0.500
O 0.258 0.258 0.258
O 0.258 0.258 0.725
O 0.258 0.725 0.258
O 0.275 0.742 0.742
O 0.725 0.258 0.258
O 0.742 0.275 0.742
O 0.742 0.742 0.275
O 0.742 0.742 0.742

=====

# 2
RbTlAsSe2 after structural relaxation, computed with GGA-PBEsol.

Output
crystal system: tetragonal
offset from the most stable computed form: 815 meV per atom
formation energy (no corrections): 981 meV/atom
symmetry: P4/mmm, No. 123

Cell: 5.830 5.830 6.036 Å, 90.00 90.00 90.00°
Fractional coordinates of all 5 atoms:
Rb 0.000 0.000 0.000
Tl 0.500 0.500 0.500
As 0.000 0.000 0.500
Se 0.000 0.500 0.000
Se 0.500 0.000 0.000

=====

# 3
AlAs3Au after structural relaxation, computed with GGA-PBEsol.

Output
crystal system: cubic
E_form: 742 meV/atom
symmetry: Pm-3m, No. 221

Cell: 4.731 4.731 4.731 Å, 90.00 90.00 90.00°
Fractional coordinates of all 5 atoms:
Al 0.000 0.000 0.000
As 0.000 0.000 0.500
As 0.000 0.500 0.000
As 0.500 0.000 0.000
Au 0.500 0.500 0.500

=====

# 4
Ba3TiNb4O15 after structural relaxation, computed with GGA-PBEsol.

Output
crystal system: monoclinic
offset from the most stable computed form: 3 meV per atom
formation energy (no corrections): -2825 meV/atom
symmetry: Pc, No. 7

Cell: 4.014 12.639 12.667 Å, 90.00 90.01 90.00°
Fractional coordinates of all 46 atoms:
Ba 0.000 0.053 0.000
Ba 0.000 0.947 0.500
Ba 0.010 0.247 0.647
Ba 0.010 0.753 0.147
Ba 0.997 0.394 0.347
Ba 0.997 0.606 0.847
Ti 0.534 0.175 0.442
Ti 0.534 0.825 0.942
Nb 0.454 0.247 0.154
Nb 0.454 0.753 0.654
Nb 0.517 0.037 0.734
Nb 0.517 0.963 0.234
Nb 0.518 0.462 0.580
Nb 0.518 0.538 0.080
Nb 0.528 0.327 0.869
Nb 0.528 0.673 0.369
O 0.490 0.250 0.304
O 0.490 0.750 0.804
O 0.493 0.108 0.575
O 0.493 0.892 0.075
O 0.494 0.320 0.501
O 0.494 0.680 0.001
O 0.495 0.467 0.929
O 0.495 0.533 0.429
O 0.496 0.031 0.368
O 0.496 0.091 0.141
O 0.496 0.909 0.641
O 0.496 0.969 0.868
O 0.497 0.182 0.783
O 0.497 0.818 0.283
O 0.498 0.240 0.990
O 0.498 0.387 0.712
O 0.498 0.405 0.155
O 0.498 0.595 0.655
O 0.498 0.613 0.212
O 0.498 0.760 0.490
O 0.983 0.176 0.441
O 0.983 0.824 0.941
O 0.988 0.247 0.146
O 0.988 0.753 0.646
O 0.997 0.456 0.565
O 0.997 0.544 0.065
O 0.998 0.041 0.720
O 0.998 0.959 0.220
O 0.999 0.328 0.851
O 0.999 0.672 0.351

=====

# 5
ZnAsOF2 after structural relaxation, computed with GGA-PBEsol.

Output
crystal system: tetragonal
formation energy (no corrections): -952 meV/atom
symmetry: P4/mmm, No. 123

Cell: 4.227 4.227 3.891 Å, 90.00 90.00 90.00°
Fractional coordinates of all 5 atoms:
Zn 0.000 0.000 0.000
As 0.500 0.500 0.500
O 0.500 0.500 0.000
F 0.000 0.500 0.500
F 0.500 0.000 0.500

=====

# 6
Tm2Fe17H3 after structural relaxation, computed with GGA-PBEsol.

Output
crystal system: hexagonal
symmetry: P6_3/mmc, No. 194
electronic total energy: -7.90 eV per atom

Cell: 8.255 8.255 7.958 Å, 90.00 90.00 120.00°
Fractional coordinates of all 44 atoms:
Tm 0.000 0.000 0.250
Tm 0.000 0.000 0.750
Tm 0.333 0.667 0.250
Tm 0.667 0.333 0.750
Fe 0.000 0.500 0.000
Fe 0.000 0.500 0.500
Fe 0.050 0.378 0.750
Fe 0.050 0.672 0.750
Fe 0.166 0.333 0.015
Fe 0.166 0.333 0.485
Fe 0.166 0.834 0.015
Fe 0.166 0.834 0.485
Fe 0.328 0.378 0.750
Fe 0.328 0.950 0.750
Fe 0.333 0.166 0.515
Fe 0.333 0.166 0.985
Fe 0.333 0.667 0.606
Fe 0.333 0.667 0.894
Fe 0.378 0.050 0.250
Fe 0.378 0.328 0.250
Fe 0.500 0.000 0.000
Fe 0.500 0.000 0.500
Fe 0.500 0.500 0.000
Fe 0.500 0.500 0.500
Fe 0.622 0.672 0.750
Fe 0.622 0.950 0.750
Fe 0.667 0.333 0.106
Fe 0.667 0.333 0.394
Fe 0.667 0.834 0.015
Fe 0.667 0.834 0.485
Fe 0.672 0.050 0.250
Fe 0.672 0.622 0.250
Fe 0.834 0.166 0.515
Fe 0.834 0.166 0.985
Fe 0.834 0.667 0.515
Fe 0.834 0.667 0.985
Fe 0.950 0.328 0.250
Fe 0.950 0.622 0.250
H 0.165 0.330 0.250
H 0.165 0.835 0.250
H 0.330 0.165 0.750
H 0.670 0.835 0.250
H 0.835 0.165 0.750
H 0.835 0.670 0.750

=====

# 7
MgGaP2Cl after structural relaxation, computed with GGA-PBEsol.

Output
crystal system: tetragonal
formation energy (no corrections): 408 meV/atom
symmetry: P4/mmm, No. 123

Cell: 4.836 4.836 4.832 Å, 90.00 90.00 90.00°
Fractional coordinates of all 5 atoms:
Mg 0.000 0.000 0.000
Ga 0.500 0.500 0.500
P 0.000 0.500 0.000
P 0.500 0.000 0.000
Cl 0.000 0.000 0.500

=====

# 8
ScBe2Tc after structural relaxation, computed with GGA-PBEsol.

Output
crystal system: tetragonal
E_form: -201 meV/atom
offset from the most stable computed form: 0 meV per atom
symmetry: P4/mmm, No. 123

Cell: 3.088 3.088 5.297 Å, 90.00 90.00 90.00°
Fractional coordinates of all 4 atoms:
Sc 0.000 0.000 0.000
Be 0.500 0.500 0.305
Be 0.500 0.500 0.695
Tc 0.000 0.000 0.500

=====

# 9
TlBi2Mo after structural relaxation, computed with GGA-PBEsol.

Output
crystal system: tetragonal
E_form: 864 meV/atom
symmetry: I-42d, No. 122

Cell: 8.180 8.180 8.180 Å, 132.28 132.28 69.79°
Fractional coordinates of all 8 atoms:
Tl 0.000 0.000 0.000
Tl 0.750 0.250 0.500
Bi 0.191 0.625 0.066
Bi 0.375 0.441 0.566
Bi 0.559 0.125 0.934
Bi 0.875 0.809 0.434
Mo 0.250 0.750 0.500
Mo 0.500 0.500 0.000

=====

# 10
AsP3Os after structural relaxation, computed with GGA-PBEsol.

Output
crystal system: cubic
E_form: 766 meV/atom
symmetry: Pm-3m, No. 221

Cell: 4.545 4.545 4.545 Å, 90.00 90.00 90.00°
Fractional coordinates of all 5 atoms:
As 0.000 0.000 0.000
P 0.000 0.500 0.500
P 0.500 0.000 0.500
P 0.500 0.500 0.000
Os 0.500 0.500 0.500

=====

# 11
KLi2Ag after structural relaxation, computed with GGA-PBEsol.

Output
crystal system: orthorhombic
E_form: 191 meV/atom
symmetry: Pmmm, No. 47

Cell: 4.606 4.636 4.783 Å, 90.00 90.00 90.00°
Fractional coordinates of all 4 atoms:
K 0.000 0.000 0.000
Li 0.000 0.500 0.500
Li 0.500 0.000 0.500
Ag 0.500 0.500 0.000

=====

# 12
Mg2TlCu2 after structural relaxation, computed with GGA-PBEsol.

Output
crystal system: tetragonal
E_form: -26 meV/atom
offset from the most stable computed form: 0 meV per atom
symmetry: P4/mbm, No. 127

Cell: 6.943 6.943 3.586 Å, 90.00 90.00 90.00°
Fractional coordinates of all 10 atoms:
Mg 0.163 0.337 0.000
Mg 0.337 0.837 0.000
Mg 0.663 0.163 0.000
Mg 0.837 0.663 0.000
Tl 0.000 0.000 0.500
Tl 0.500 0.500 0.500
Cu 0.125 0.625 0.500
Cu 0.375 0.125 0.500
Cu 0.625 0.875 0.500
Cu 0.875 0.375 0.500